Entry from the Alexandria database: Tl4InI7 after structural relaxation (PBE).

Cell lengths 5.979, 10.674, 9.918 Å; angles 79.47, 72.46, 73.74 degrees
Fractional coordinates of all 12 atoms:
1 I 0.500 0.000 0.000
2 I 0.055 0.754 0.136
3 I 0.945 0.246 0.864
4 I 0.636 0.473 0.255
5 I 0.364 0.527 0.745
6 I 0.228 0.137 0.407
7 I 0.772 0.863 0.593
8 Tl 0.743 0.644 0.871
9 Tl 0.257 0.356 0.129
10 Tl 0.388 0.770 0.454
11 Tl 0.612 0.230 0.546
12 In 0.000 0.000 0.000

Fermi-level density of states = 0.26 states/eV/atom
Uncorrected formation energy = -0.467 eV per atom
Crystal system = monoclinic
Magnetic moment = 0.00 μB/atom
E = -2.3878 eV per atom

=====

Entry from the Alexandria database: Na3Cd8Sn2 after structural relaxation (PBE).

Cell lengths 5.920, 5.920, 12.738 Å; angles 76.56, 76.56, 60.00 degrees
Fractional coordinates of all 13 atoms:
1 Na 0.000 0.000 0.000
2 Na 0.764 0.764 0.708
3 Na 0.236 0.236 0.292
4 Sn 0.397 0.397 0.809
5 Sn 0.603 0.603 0.191
6 Cd 0.706 0.706 0.398
7 Cd 0.294 0.294 0.602
8 Cd 0.683 0.683 0.951
9 Cd 0.317 0.317 0.049
10 Cd 0.191 0.706 0.398
11 Cd 0.809 0.294 0.602
12 Cd 0.706 0.191 0.398
13 Cd 0.294 0.809 0.602

Fermi-level density of states = 0.29 states/eV/atom
DFT formation energy = 41 meV per atom
Crystal system = trigonal
Magnetic moment = 0.00 μB/atom
E = -1.4424 eV per atom

=====

Entry from the Alexandria database: Pm4Tl5Sn2 after structural relaxation (PBE).

Cell lengths 4.031, 8.285, 9.713 Å; angles 91.77, 90.00, 90.00 degrees
Fractional coordinates of all 11 atoms:
1 Tl 0.000 0.141 0.127
2 Tl 0.000 0.465 0.664
3 Tl 0.000 0.859 0.873
4 Tl 0.000 0.500 0.000
5 Tl 0.000 0.535 0.336
6 Pm 0.500 0.235 0.400
7 Pm 0.500 0.787 0.136
8 Pm 0.500 0.765 0.600
9 Pm 0.500 0.213 0.864
10 Sn 0.000 0.093 0.629
11 Sn 0.000 0.907 0.371

Fermi-level density of states = 0.42 states/eV/atom
DFT formation energy = -389 meV per atom
Crystal system = monoclinic
Magnetic moment = 0.00 μB/atom
E = -3.9197 eV per atom

=====

Entry from the Alexandria database: La4SmDy6 after structural relaxation (PBE).

Cell lengths 9.718, 9.718, 9.718 Å; angles 59.38, 139.00, 139.00 degrees
Fractional coordinates of all 11 atoms:
1 La 0.000 0.014 0.632
2 La 0.618 0.986 0.986
3 La 0.382 0.368 0.368
4 La 0.000 0.632 0.014
5 Dy 0.000 0.792 0.443
6 Dy 0.651 0.208 0.208
7 Dy 0.000 0.443 0.792
8 Dy 0.349 0.557 0.557
9 Dy 0.500 0.000 0.500
10 Dy 0.500 0.500 0.000
11 Sm 0.000 0.000 0.000

Fermi-level density of states = 1.40 states/eV/atom
DFT formation energy = 294 meV per atom
Crystal system = tetragonal
Magnetic moment = 0.00 μB/atom
E = -4.4366 eV per atom

=====

Entry from the Alexandria database: Na2TmZr2S6 after structural relaxation (PBE).

Cell lengths 6.512, 6.512, 7.180 Å; angles 98.55, 98.55, 120.26 degrees
Fractional coordinates of all 11 atoms:
1 S 0.415 0.071 0.719
2 S 0.929 0.585 0.281
3 S 0.585 0.929 0.281
4 S 0.729 0.729 0.720
5 S 0.271 0.271 0.280
6 S 0.071 0.415 0.719
7 Zr 0.666 0.334 0.500
8 Zr 0.334 0.666 0.500
9 Na 0.835 0.165 0.000
10 Na 0.165 0.835 0.000
11 Tm 0.000 0.000 0.500

Fermi-level density of states = 0.34 states/eV/atom
Uncorrected formation energy = -1.631 eV per atom
Crystal system = monoclinic
Magnetic moment = 0.00 μB/atom
E = -6.0828 eV per atom

=====

Entry from the Alexandria database: ZrSeI3 after structural relaxation (PBE).

Cell lengths 5.739, 5.739, 5.739 Å; angles 90.00, 90.00, 90.00 degrees
Fractional coordinates of all 5 atoms:
1 Zr 0.500 0.500 0.500
2 I 0.000 0.500 0.000
3 I 0.000 0.000 0.500
4 I 0.500 0.000 0.000
5 Se 0.000 0.000 0.000

Fermi-level density of states = 0.93 states/eV/atom
Uncorrected formation energy = 0.649 eV per atom
Crystal system = cubic
Magnetic moment = 0.52 μB/atom
E = -2.6881 eV per atom

=====

Entry from the Alexandria database: BeIn2Si after structural relaxation (PBE).

Cell lengths 7.884, 7.884, 7.884 Å; angles 25.38, 25.38, 25.38 degrees
Fractional coordinates of all 4 atoms:
1 Be 0.750 0.750 0.750
2 In 0.006 0.006 0.006
3 In 0.494 0.494 0.494
4 Si 0.250 0.250 0.250

Fermi-level density of states = 0.27 states/eV/atom
Polymorph energy (0 for the lowest one) = 0.310 eV per atom
Uncorrected formation energy = 0.523 eV per atom
Crystal system = trigonal
Magnetic moment = 0.00 μB/atom
E = -3.1334 eV per atom

=====

Entry from the Alexandria database: MgZn2CuGe after structural relaxation (PBE).

Cell lengths 4.581, 4.808, 4.581 Å; angles 90.00, 90.00, 90.00 degrees
Fractional coordinates of all 5 atoms:
1 Zn 0.500 0.000 0.000
2 Zn 0.000 0.000 0.500
3 Ge 0.500 0.500 0.500
4 Cu 0.000 0.000 0.000
5 Mg 0.000 0.500 0.000

Fermi-level density of states = 0.47 states/eV/atom
DFT formation energy = 316 meV per atom
Crystal system = tetragonal
Magnetic moment = 0.00 μB/atom
E = -2.2553 eV per atom

=====

Q: Number 4 is which compound?
A: La4SmDy6

=====

Q: Which of these has the highest magnetic moment?
A: ZrSeI3

=====

Repeat the third record exactly.
Entry from the Alexandria database: Pm4Tl5Sn2 after structural relaxation (PBE).

Cell lengths 4.031, 8.285, 9.713 Å; angles 91.77, 90.00, 90.00 degrees
Fractional coordinates of all 11 atoms:
1 Tl 0.000 0.141 0.127
2 Tl 0.000 0.465 0.664
3 Tl 0.000 0.859 0.873
4 Tl 0.000 0.500 0.000
5 Tl 0.000 0.535 0.336
6 Pm 0.500 0.235 0.400
7 Pm 0.500 0.787 0.136
8 Pm 0.500 0.765 0.600
9 Pm 0.500 0.213 0.864
10 Sn 0.000 0.093 0.629
11 Sn 0.000 0.907 0.371

Fermi-level density of states = 0.42 states/eV/atom
DFT formation energy = -389 meV per atom
Crystal system = monoclinic
Magnetic moment = 0.00 μB/atom
E = -3.9197 eV per atom